Record 1
The following is a DFT calculation (PBE-GGA) of Sm5Y2HoTm after structural relaxation.

Geometry as POSCAR:
```
Sm5Y2HoTm
1.0
-1.237 -1.811 5.190
10.339 -1.338 -1.061
1.659 9.795 3.814
Y Sm Tm Ho
4 10 2 2
Direct
0.115 0.229 0.314
0.111 0.223 0.737
0.889 0.777 0.237
0.885 0.771 0.814
0.482 0.964 0.743
0.388 0.777 0.022
0.982 0.964 0.519
0.281 0.562 0.310
0.612 0.223 0.522
0.298 0.597 0.706
0.518 0.036 0.243
0.719 0.438 0.810
0.018 0.036 0.019
0.702 0.403 0.206
0.591 0.182 0.963
0.409 0.818 0.463
0.800 0.600 0.510
0.200 0.400 0.010
```

Calculated values
SG: No. 36
Energy relative to the elements, eV per atom: 0.144
Magnetic moment, Bohr magnetons per cell: 0.000

Record 2
The following is a DFT calculation (PBE-GGA) of Sm3Y2HoTm6 after structural relaxation.

Geometry as POSCAR:
```
Sm3Y2HoTm6
1.0
6.137 0.002 -0.003
-3.065 5.316 -0.003
-1.015 -1.757 11.515
Tm Y Ho Sm
6 2 1 3
Direct
0.585 0.917 0.752
0.250 0.250 0.751
0.917 0.585 0.752
0.415 0.083 0.248
0.083 0.415 0.248
0.750 0.750 0.249
0.333 0.667 0.000
0.667 0.333 0.000
0.000 0.000 0.000
0.833 0.167 0.500
0.500 0.500 0.500
0.167 0.833 0.500
```

Calculated values
SG: No. 12
Energy relative to the elements, eV per atom: 0.024
Magnetic moment, Bohr magnetons per cell: 0.000

Record 3
The following is a DFT calculation (PBE-GGA) of SmY2HoTm2 after structural relaxation.

Geometry as POSCAR:
```
SmY2HoTm2
1.0
5.610 0.000 0.000
0.000 9.721 0.000
0.000 0.000 6.918
Y Sm Ho Tm
4 2 2 4
Direct
0.000 0.333 0.749
0.500 0.167 0.249
0.000 0.667 0.251
0.500 0.833 0.751
0.500 0.500 0.000
0.000 0.000 0.500
0.000 0.000 0.000
0.500 0.500 0.500
0.000 0.333 0.251
0.500 0.167 0.751
0.500 0.833 0.249
0.000 0.667 0.749
```

Calculated values
SG: No. 58
Energy relative to the elements, eV per atom: 0.075
Magnetic moment, Bohr magnetons per cell: 0.000

Record 4
The following is a DFT calculation (PBE-GGA) of SmY6Ho2Tm after structural relaxation.

Geometry as POSCAR:
```
SmY6Ho2Tm
1.0
9.130 -1.992 -2.067
0.774 8.514 -1.972
0.774 -2.286 8.435
Ho Y Tm Sm
4 12 2 2
Direct
0.047 0.302 0.199
0.547 0.199 0.302
0.953 0.698 0.801
0.453 0.801 0.698
0.316 0.986 0.433
0.383 0.508 0.293
0.556 0.753 0.123
0.444 0.247 0.877
0.184 0.567 0.014
0.617 0.492 0.707
0.056 0.123 0.753
0.117 0.707 0.492
0.816 0.433 0.986
0.944 0.877 0.247
0.883 0.293 0.508
0.684 0.014 0.567
0.750 0.590 0.410
0.250 0.410 0.590
0.250 0.975 0.025
0.750 0.025 0.975
```

Calculated values
SG: No. 15
Energy relative to the elements, eV per atom: 0.119
Magnetic moment, Bohr magnetons per cell: 0.000

Record 5
The following is a DFT calculation (PBE-GGA) of SmY2Ho2Tm after structural relaxation.

Geometry as POSCAR:
```
SmY2Ho2Tm
1.0
3.516 0.000 0.000
0.000 6.060 0.000
0.000 0.000 18.131
Ho Y Tm Sm
4 4 2 2
Direct
0.000 0.669 0.845
0.000 0.331 0.155
0.500 0.831 0.345
0.500 0.169 0.655
0.500 0.832 0.159
0.500 0.168 0.841
0.000 0.332 0.341
0.000 0.668 0.659
0.000 0.000 0.000
0.500 0.500 0.500
0.000 0.000 0.500
0.500 0.500 0.000
```

Calculated values
SG: No. 58
Energy relative to the elements, eV per atom: 0.106
Magnetic moment, Bohr magnetons per cell: 0.000

Record 6
The following is a DFT calculation (PBE-GGA) of SmY2Ho6Tm3 after structural relaxation.

Geometry as POSCAR:
```
SmY2Ho6Tm3
1.0
-4.594 2.847 2.856
-0.929 -2.560 -5.473
-1.110 -9.991 5.998
Ho Y Tm Sm
6 2 3 1
Direct
0.418 0.085 0.253
0.248 0.248 0.747
0.915 0.582 0.747
0.582 0.915 0.747
0.085 0.418 0.253
0.752 0.752 0.253
0.333 0.667 0.000
0.667 0.333 0.000
0.500 0.500 0.500
0.167 0.833 0.500
0.833 0.167 0.500
0.000 0.000 0.000
```

Calculated values
SG: No. 12
Energy relative to the elements, eV per atom: 0.023
Magnetic moment, Bohr magnetons per cell: 0.000

Record 7
The following is a DFT calculation (PBE-GGA) of Sm2YHoTm after structural relaxation.

Geometry as POSCAR:
```
Sm2YHoTm
1.0
-0.965 -4.885 -5.228
2.030 -6.113 5.337
-6.539 2.536 -1.163
Tm Y Sm Ho
2 2 4 2
Direct
0.250 0.982 0.964
0.750 0.018 0.036
0.250 0.262 0.524
0.750 0.738 0.476
0.500 0.306 0.000
0.000 0.694 0.000
0.000 0.306 0.000
0.500 0.694 0.000
0.250 0.715 0.431
0.750 0.285 0.569
```

Calculated values
SG: No. 63
Energy relative to the elements, eV per atom: 0.406
Magnetic moment, Bohr magnetons per cell: 0.000

Record 8
The following is a DFT calculation (PBE-GGA) of SmYHo2Tm after structural relaxation.

Geometry as POSCAR:
```
SmYHo2Tm
1.0
7.197 0.000 0.000
0.000 8.364 0.000
0.000 -4.182 5.702
Y Sm Tm Ho
2 2 2 4
Direct
0.250 0.001 0.002
0.750 0.999 0.998
0.750 0.273 0.547
0.250 0.727 0.453
0.750 0.720 0.440
0.250 0.280 0.560
0.500 0.311 0.000
0.000 0.689 0.000
0.500 0.689 0.000
0.000 0.311 0.000
```

Calculated values
SG: No. 63
Energy relative to the elements, eV per atom: 0.410
Magnetic moment, Bohr magnetons per cell: 0.000

The calculation returns the following total DFT energy (no corrections) values, one per record and in order: -4.92 -4.85 -5.12 -5.59 -5.11 -4.85 -4.58 -4.55 eV per atom.